*one*
This record from Alexandria describes crystalline Sr2PbI at its relaxed geometry. The functional is PBE-GGA.

a b c (Å): 5.928 5.928 5.928
angles (deg): 60.00 60.00 60.00
Fractional positions:
Sr 0.250 0.250 0.250
Sr 0.750 0.750 0.750
Pb 0.000 0.000 0.000
I 0.500 0.500 0.500

Space-group type: Fm-3m (225)
Theoretical density in g cm⁻³: 5.7
Density of states at the Fermi level in states/eV/f.u.: 7.211

---

*two*
This record from Alexandria describes crystalline Sr2PbI at its relaxed geometry. The functional is PBE-GGA.

a b c (Å): 10.918 10.918 7.665
angles (deg): 102.86 102.86 126.11
Fractional positions:
Sr 0.057 0.455 0.742
Sr 0.169 0.272 0.241
Sr 0.272 0.169 0.741
Sr 0.455 0.057 0.242
Sr 0.545 0.943 0.758
Sr 0.728 0.831 0.259
Sr 0.831 0.728 0.759
Sr 0.943 0.545 0.258
Pb 0.089 0.911 0.250
Pb 0.175 0.825 0.750
Pb 0.825 0.175 0.250
Pb 0.911 0.089 0.750
I 0.331 0.669 0.250
I 0.439 0.561 0.750
I 0.561 0.439 0.250
I 0.669 0.331 0.750

Space-group type: C2/c (15)
Theoretical density in g cm⁻³: 5.3
Density of states at the Fermi level in states/eV/f.u.: 0.664

---

*three*
This record from Alexandria describes crystalline Sr2PbI at its relaxed geometry. The functional is PBE-GGA.

a b c (Å): 7.705 7.705 7.705
angles (deg): 110.17 110.17 108.07
Fractional positions:
Sr 0.122 0.625 0.997
Sr 0.375 0.372 0.497
Sr 0.628 0.125 0.003
Sr 0.875 0.878 0.503
Pb 0.000 0.000 0.000
Pb 0.750 0.250 0.500
I 0.250 0.750 0.500
I 0.500 0.500 0.000

Space-group type: I-42d (122)
Theoretical density in g cm⁻³: 4.8
Density of states at the Fermi level in states/eV/f.u.: 3.788

---

Most stable to least stable: *two*, *one*, *three*

---

*one*
This record from Alexandria describes crystalline Sr2PbI at its relaxed geometry. The functional is PBE-GGA.

a b c (Å): 4.074 4.074 9.004
angles (deg): 90.00 90.00 90.00
Fractional positions:
Sr 0.000 0.000 0.225
Sr 0.000 0.000 0.775
Pb 0.500 0.500 0.000
I 0.500 0.500 0.500

Space-group type: P4/mmm (123)
Theoretical density in g cm⁻³: 5.7
Density of states at the Fermi level in states/eV/f.u.: 1.253

---

*two*
This record from Alexandria describes crystalline Sr2PbI at its relaxed geometry. The functional is PBE-GGA.

a b c (Å): 9.315 9.315 9.315
angles (deg): 28.79 28.79 28.79
Fractional positions:
Sr 0.000 0.000 0.000
Sr 0.184 0.184 0.184
Pb 0.592 0.592 0.592
I 0.762 0.762 0.762

Space-group type: R3m (160)
Theoretical density in g cm⁻³: 5.1
Density of states at the Fermi level in states/eV/f.u.: 1.927

---

Most stable to least stable: *one*, *two*

---

*one*
This record from Alexandria describes crystalline SrPb3I at its relaxed geometry. The functional is PBE-GGA.

a b c (Å): 6.338 6.338 6.338
angles (deg): 90.00 90.00 90.00
Fractional positions:
Sr 0.000 0.000 0.000
Pb 0.000 0.000 0.500
Pb 0.000 0.500 0.000
Pb 0.500 0.000 0.000
I 0.500 0.500 0.500

Space-group type: Pm-3m (221)
Theoretical density in g cm⁻³: 5.5
Density of states at the Fermi level in states/eV/f.u.: 9.978

---

*two*
This record from Alexandria describes crystalline SrPb3I at its relaxed geometry. The functional is PBE-GGA.

a b c (Å): 6.040 6.040 6.040
angles (deg): 90.00 90.00 90.00
Fractional positions:
Sr 0.000 0.000 0.000
Pb 0.000 0.500 0.500
Pb 0.500 0.000 0.500
Pb 0.500 0.500 0.000
I 0.500 0.500 0.500

Space-group type: Pm-3m (221)
Theoretical density in g cm⁻³: 6.3
Density of states at the Fermi level in states/eV/f.u.: 5.345

---

Most stable to least stable: *two*, *one*

---

*one*
This record from Alexandria describes crystalline SrPb2I6 at its relaxed geometry. The functional is PBE-GGA.

a b c (Å): 10.472 10.472 9.300
angles (deg): 101.75 101.75 26.03
Fractional positions:
Sr 0.000 0.000 0.000
Pb 0.332 0.332 0.664
Pb 0.668 0.668 0.336
I 0.166 0.166 0.090
I 0.168 0.168 0.581
I 0.496 0.496 0.750
I 0.504 0.504 0.250
I 0.832 0.832 0.419
I 0.834 0.834 0.910

Space-group type: C2/m (12)
Theoretical density in g cm⁻³: 4.8
Density of states at the Fermi level in states/eV/f.u.: 0.000

---

*two*
This record from Alexandria describes crystalline SrPb2I6 at its relaxed geometry. The functional is PBE-GGA.

a b c (Å): 8.274 7.470 16.117
angles (deg): 90.00 120.88 90.00
Fractional positions:
Sr 0.000 0.000 0.000
Sr 0.000 0.500 0.500
Pb 0.328 0.002 0.828
Pb 0.328 0.498 0.328
Pb 0.672 0.502 0.672
Pb 0.672 0.998 0.172
I 0.019 0.747 0.837
I 0.019 0.753 0.337
I 0.338 0.235 0.000
I 0.338 0.265 0.500
I 0.343 0.744 0.162
I 0.343 0.756 0.662
I 0.657 0.244 0.338
I 0.657 0.256 0.838
I 0.662 0.735 0.500
I 0.662 0.765 0.000
I 0.981 0.247 0.663
I 0.981 0.253 0.163

Space-group type: P2_1/c (14)
Theoretical density in g cm⁻³: 4.9
Density of states at the Fermi level in states/eV/f.u.: 0.000

---

Most stable to least stable: *one*, *two*